# Zn3Mo5

A relaxed structure of Zn3Mo5 (PBE-GGA, Alexandria).

Values from the calculation:
E_tot in eV/atom: -7.1062
Energy relative to the lowest polymorph listed for this composition in eV/atom: 0.000
Crystal system: orthorhombic
Formation energy in eV/f.u.: 1.1

abc: 8.2909 8.5663 3.4254
angles: 90.00 90.00 90.00
Space group Cmmm (No. 65)
Symmetry-distinct sites (fractional):
Zn (0.0000, 0.0000, 0.0000) (multiplicity 2)
Zn (0.2410, 0.0000, 0.5000) (multiplicity 4)
Mo (0.0000, 0.2550, 0.5000) (multiplicity 4)
Mo (0.0000, 0.5000, 0.0000) (multiplicity 2)
Mo (0.2500, 0.2500, 0.0000) (multiplicity 4)